No. 1
FeSb2Ru PBE relaxed; SG = I-4m2 (119); total magnetic moment = 2.35 μB per formula unit; energy = -6.089 eV per atom; energy relative to the elements, uncorrected = 0.407 eV per atom
1.0
-3.506 0.198 4.312
1.719 -1.160 5.160
1.516 3.114 -4.351
Ru Fe Sb
1 1 2
Cartesian
-1.442 1.416 2.349
-0.894 -0.481 4.736
0.000 0.000 0.000
1.171 0.736 2.772

No. 2
FeSbRu2 PBE relaxed; SG = Cm (8); total magnetic moment = 3.43 μB per formula unit; energy = -7.618 eV per atom; energy relative to the elements, uncorrected = 0.167 eV per atom
1.0
-1.003 2.435 -4.119
-1.049 -0.580 -4.739
-4.475 0.127 -0.282
Fe Ru Sb
1 2 1
Cartesian
-1.357 0.495 -2.307
-2.340 1.844 -8.789
-4.666 1.488 -6.884
-3.482 0.998 -4.590

No. 3
FeSbRu2 PBE relaxed; SG = Imm2 (44); total magnetic moment = 3.71 μB per formula unit; energy = -7.553 eV per atom; energy relative to the elements, uncorrected = 0.231 eV per atom
1.0
-3.630 -3.329 -1.686
0.757 -2.362 -4.578
1.965 0.792 4.756
Ru Fe Sb
2 1 1
Cartesian
-2.833 -5.611 -6.176
0.614 -2.264 -1.538
-1.545 -2.679 -0.018
-1.455 -2.882 -3.172

No. 4
FeSb4Ru PBE relaxed; SG = F-43m (216); total magnetic moment = 5.50 μB per formula unit; energy = -4.488 eV per atom; energy relative to the elements, uncorrected = 1.216 eV per atom
1.0
1.588 -4.939 3.032
3.457 0.460 4.893
-2.329 -1.068 5.435
Ru Sb Fe
1 4 1
Cartesian
0.000 0.000 0.000
-0.147 -2.614 7.728
1.018 -2.079 5.009
2.748 -1.849 7.457
1.813 -4.550 6.526
2.037 -4.160 10.020

No. 5
FeSbRu2 PBE relaxed; SG = I-42d (122); total magnetic moment = 0.00 μB per formula unit; energy = -6.962 eV per atom; energy relative to the elements, uncorrected = 0.823 eV per atom
1.0
-4.745 -0.645 -2.672
2.344 -3.732 -3.263
-2.662 -6.227 0.602
Sb Ru Fe
2 4 2
Cartesian
0.000 0.000 0.000
-4.304 -4.530 -2.519
-3.063 -2.389 -1.773
-0.068 -4.007 -2.377
-2.761 -6.528 -1.963
-4.233 -8.284 -4.552
-1.200 -2.188 -2.967
-0.759 -6.074 -2.814

No. 6
FeSb2Ru PBE relaxed; SG = Amm2 (38); total magnetic moment = 2.72 μB per formula unit; energy = -6.389 eV per atom; energy relative to the elements, uncorrected = 0.107 eV per atom
1.0
-3.924 -2.281 2.503
-2.146 -4.655 0.773
2.555 -0.603 3.456
Ru Fe Sb
1 1 2
Cartesian
-2.024 -5.396 5.324
-2.363 -4.021 3.089
-0.669 -2.086 2.174
-3.730 -7.345 6.244

No. 7
FeSb4Ru PBE relaxed; SG = P2_1/c (14); total magnetic moment = 1.90 μB per formula unit; energy = -5.609 eV per atom; energy relative to the elements, uncorrected = 0.096 eV per atom
1.0
-4.472 -1.427 4.353
-0.323 -6.021 -2.306
4.725 -1.794 4.023
Sb Ru Fe
8 2 2
Cartesian
1.253 -3.281 5.920
-0.039 -3.389 2.204
-3.486 -5.312 2.849
-2.199 -2.682 4.925
-0.031 -5.854 3.866
3.416 -3.931 3.221
2.128 -6.560 1.146
-1.323 -5.961 0.150
0.126 -1.611 4.188
2.201 -3.908 0.858
-2.397 -3.724 1.024
0.000 0.000 0.000

No. 8
FeSbRu2 PBE relaxed; SG = P2/m (10); total magnetic moment = 3.69 μB per formula unit; energy = -7.449 eV per atom; energy relative to the elements, uncorrected = 0.335 eV per atom
1.0
4.319 0.000 0.000
0.000 2.912 0.042
0.000 0.246 4.979
Ru Sb Fe
2 1 1
Cartesian
0.000 1.584 2.596
0.000 3.153 4.935
2.160 0.789 1.255
2.160 2.368 3.765

No. 9
FeSb2Ru PBE relaxed; SG = R-3m (166); total magnetic moment = 1.93 μB per formula unit; energy = -6.265 eV per atom; energy relative to the elements, uncorrected = 0.231 eV per atom
1.0
-3.121 -5.040 -5.529
-0.035 -5.994 -5.456
-2.124 -7.112 -3.259
Sb Ru Fe
2 1 1
Cartesian
-2.649 -9.104 -7.146
-5.270 -18.114 -14.219
-3.959 -13.609 -10.683
-1.320 -4.536 -3.561

No. 10
FeSb2Ru PBE relaxed; SG = Imm2 (44); total magnetic moment = 2.92 μB per formula unit; energy = -6.289 eV per atom; energy relative to the elements, uncorrected = 0.207 eV per atom
1.0
-2.252 -4.163 5.407
2.891 -3.951 5.260
-1.048 6.001 -3.811
Sb Fe Ru
2 1 1
Cartesian
0.000 -0.005 0.007
-1.487 -1.153 3.522
0.363 -4.605 6.053
1.034 -0.408 2.608

No. 11
FeSbRu2 PBE relaxed; SG = F-43m (216); total magnetic moment = 3.79 μB per formula unit; energy = -7.501 eV per atom; energy relative to the elements, uncorrected = 0.284 eV per atom
1.0
4.408 0.000 0.000
2.204 3.817 0.000
2.204 1.272 3.599
Ru Fe Sb
2 1 1
Cartesian
2.204 1.272 0.900
0.000 0.000 0.000
4.408 2.545 1.800
6.612 3.817 2.699

No. 12
FeSb3Ru PBE relaxed; SG = Pm-3m (221); total magnetic moment = 0.55 μB per formula unit; energy = -5.159 eV per atom; energy relative to the elements, uncorrected = 0.862 eV per atom
1.0
4.830 0.000 0.000
0.000 4.830 0.000
0.000 0.000 4.830
Sb Fe Ru
3 1 1
Cartesian
0.000 2.415 0.000
0.000 0.000 2.415
2.415 0.000 0.000
0.000 0.000 0.000
2.415 2.415 2.415